No. 1
{
  "formula": "Li3ScGe",
  "functional": "PBE",
  "state": "optimized geometry",
  "e_above_lowest_polymorph_mev_per_atom": 0,
  "cell": [[4.639, 0.000, 0.000], [0.000, 4.639, 0.000], [0.000, 0.000, 4.639]],
  "species": ["Li", "Li", "Li", "Sc", "Ge"],
  "frac_coords": [[0.000, 0.000, 0.500], [0.000, 0.500, 0.000], [0.500, 0.000, 0.000], [0.500, 0.500, 0.500], [0.000, 0.000, 0.000]]
}

No. 2
{
  "formula": "PmY4S4",
  "functional": "PBE",
  "state": "optimized geometry",
  "e_form_raw_mev_per_atom": -1784.0,
  "cell": [[-4.386, 4.386, 2.754], [4.386, -4.386, 2.754], [4.386, 4.386, -2.754]],
  "species": ["Pm", "Y", "Y", "Y", "Y", "S", "S", "S", "S"],
  "frac_coords": [[0.000, 0.000, 0.000], [0.196, 0.606, 0.802], [0.394, 0.196, 0.590], [0.606, 0.804, 0.410], [0.804, 0.394, 0.198], [0.100, 0.306, 0.406], [0.306, 0.900, 0.205], [0.694, 0.100, 0.795], [0.900, 0.694, 0.594]]
}